# 1
Computed, not measured: a geometry-optimized TlIn2Pb structure at the PBE-GGA level of DFT.

DOS at the Fermi energy: 5.29 states/eV per cell
Symmetry: I-42d (122)
E above lowest polymorph: 120 meV/atom

a b c (Å): 8.7204 8.7204 6.9554
angles (deg): 51.18 51.18 90.00
Fractional positions:
1 In 0.6299 0.1250 0.2500
2 In 0.8750 0.8799 0.7500
3 Tl 0.5000 0.5000 0.0000
4 In 0.3750 0.3701 0.7500
5 Tl 0.2500 0.7500 0.5000
6 In 0.1201 0.6250 0.2500
7 Pb 0.7500 0.2500 0.5000
8 Pb 0.0000 0.0000 0.0000

---

# 2
Computed, not measured: a geometry-optimized Tl12In3Pb5 structure at the PBE-GGA level of DFT.

DOS at the Fermi energy: 35.73 states/eV per cell
Symmetry: Ia-3d (230)

a b c (Å): 15.6956 15.6956 15.6956
angles (deg): 109.47 109.47 109.47
Fractional positions:
1 In 0.2500 0.1250 0.3750
2 Tl 0.9349 0.5659 0.1689
3 Tl 0.5659 0.9349 0.6689
4 Tl 0.6689 0.4349 0.5659
5 In 0.8750 0.7500 0.1250
6 Tl 0.9341 0.8311 0.5651
7 Pb 0.7500 0.1250 0.8750
8 Tl 0.8690 0.2660 0.4349
9 Tl 0.0651 0.4341 0.8311
10 In 0.1250 0.8750 0.7500
11 Tl 0.3690 0.9349 0.7660
12 In 0.1250 0.2500 0.8750
13 Pb 0.1250 0.7500 0.3750
14 Tl 0.0659 0.8970 0.1310
15 Pb 0.0000 0.0000 0.5000
16 Tl 0.9341 0.1030 0.8690
17 Pb 0.3750 0.1250 0.7500
18 Tl 0.7660 0.4349 0.3690
19 Tl 0.1689 0.0659 0.9349
20 Tl 0.8311 0.8970 0.2660
21 Pb 0.6250 0.7500 0.8750
22 Pb 0.0000 0.5000 0.5000
23 Tl 0.4341 0.3690 0.6030
24 Tl 0.3970 0.2660 0.3311
25 Pb 0.6250 0.8750 0.2500
26 Tl 0.8970 0.0659 0.6310
27 Tl 0.0659 0.1689 0.4349
28 Tl 0.8311 0.9341 0.0651
29 Tl 0.3690 0.4341 0.1030
30 Tl 0.1310 0.7340 0.5651
31 Tl 0.7340 0.1310 0.0651
32 Pb 0.5000 0.5000 0.5000
33 Tl 0.7660 0.3311 0.8970
34 In 0.7500 0.8750 0.6250
35 Pb 0.8750 0.2500 0.6250
36 Tl 0.4349 0.7660 0.8690
37 Tl 0.1030 0.1689 0.2340
38 Tl 0.3311 0.5651 0.4341
39 Tl 0.7340 0.6030 0.1689
40 Pb 0.7500 0.6250 0.3750
41 Tl 0.3970 0.1310 0.5659
42 Tl 0.6030 0.8690 0.4341
43 Tl 0.6310 0.0651 0.2340
44 Tl 0.5659 0.6310 0.3970
45 Pb 0.0000 0.0000 0.0000
46 In 0.7500 0.3750 0.1250
47 Pb 0.0000 0.5000 0.0000
48 Tl 0.1689 0.1030 0.7340
49 Tl 0.0651 0.6310 0.7340
50 In 0.6250 0.2500 0.3750
51 Tl 0.2340 0.6689 0.1030
52 Tl 0.6030 0.7340 0.6689
53 In 0.3750 0.6250 0.2500
54 Tl 0.2660 0.3970 0.8311
55 Tl 0.1310 0.3970 0.0659
56 Pb 0.3750 0.2500 0.1250
57 Pb 0.1250 0.3750 0.2500
58 Pb 0.5000 0.5000 0.0000
59 Pb 0.5000 0.0000 0.0000
60 Tl 0.3311 0.7660 0.3970
61 Tl 0.1030 0.9341 0.3690
62 Pb 0.2500 0.3750 0.6250
63 Tl 0.4341 0.0651 0.3311
64 Pb 0.2500 0.8750 0.1250
65 Pb 0.8750 0.6250 0.7500
66 Tl 0.2660 0.8690 0.9349
67 In 0.8750 0.1250 0.2500
68 Tl 0.2340 0.5651 0.6310
69 Tl 0.8690 0.6030 0.9341
70 Tl 0.8970 0.8311 0.7660
71 Pb 0.5000 0.0000 0.5000
72 Tl 0.5651 0.3311 0.9341
73 Tl 0.9349 0.3690 0.2660
74 In 0.6250 0.3750 0.7500
75 Tl 0.6689 0.2340 0.6030
76 Tl 0.5651 0.2340 0.1310
77 In 0.3750 0.7500 0.6250
78 In 0.2500 0.6250 0.8750
79 Tl 0.6310 0.5659 0.8970
80 Tl 0.4349 0.6689 0.0659

---

# 3
Computed, not measured: a geometry-optimized TlIn6Pb2 structure at the PBE-GGA level of DFT.

DOS at the Fermi energy: 3.59 states/eV per cell
Symmetry: C2/m (12)
E above lowest polymorph: 56 meV/atom

a b c (Å): 6.7418 7.0875 7.0875
angles (deg): 52.27 94.16 94.16
Fractional positions:
1 Tl 0.0000 0.0000 0.0000
2 In 0.5841 0.1246 0.6355
3 Pb 0.1625 0.4099 0.4099
4 In 0.5841 0.6355 0.1246
5 In 0.4159 0.3645 0.8754
6 Pb 0.8375 0.5901 0.5901
7 In 0.4159 0.8754 0.3645
8 In 0.8351 0.2200 0.2200
9 In 0.1649 0.7800 0.7800

---

# 4
Computed, not measured: a geometry-optimized Tl4In3Pb4 structure at the PBE-GGA level of DFT.

DOS at the Fermi energy: 4.39 states/eV per cell
Symmetry: P-1 (2)

a b c (Å): 3.4342 5.1376 19.1147
angles (deg): 98.53 95.75 88.91
Fractional positions:
1 Tl 0.0924 0.0907 0.1793
2 In 0.6364 0.6353 0.2732
3 Pb 0.5468 0.5456 0.0918
4 Tl 0.9076 0.9094 0.8207
5 Pb 0.1766 0.1788 0.3603
6 Pb 0.8233 0.8212 0.6397
7 In 0.3636 0.3648 0.7268
8 Pb 0.4532 0.4544 0.9082
9 Tl 0.7260 0.7264 0.4530
10 In 0.0000 0.0000 0.0000
11 Tl 0.2739 0.2737 0.5470

---

# 5
Computed, not measured: a geometry-optimized Tl3In2Pb5 structure at the PBE-GGA level of DFT.

DOS at the Fermi energy: 10.14 states/eV per cell
Symmetry: P-1 (2)

a b c (Å): 9.4241 12.0901 8.6156
angles (deg): 116.83 128.64 91.31
Fractional positions:
1 Pb 0.3474 0.4755 0.0491
2 Tl 0.7500 0.3752 0.2523
3 Tl 0.7506 0.8785 0.2461
4 Tl 0.8445 0.2223 0.5443
5 Pb 0.4524 0.8292 0.3503
6 Tl 0.1555 0.7777 0.4557
7 Pb 0.6526 0.5245 0.9509
8 Tl 0.2500 0.6248 0.7477
9 In 0.3473 0.9786 0.0541
10 Pb 0.8509 0.7323 0.5571
11 Pb 0.4468 0.3241 0.3521
12 Pb 0.0477 0.4192 0.1441
13 In 0.9493 0.0738 0.8527
14 Pb 0.1491 0.2677 0.4429
15 In 0.0507 0.9262 0.1473
16 Pb 0.5476 0.1708 0.6497
17 In 0.6527 0.0214 0.9459
18 Tl 0.2494 0.1215 0.7539
19 Pb 0.5532 0.6759 0.6479
20 Pb 0.9523 0.5808 0.8559

---

# 6
Computed, not measured: a geometry-optimized TlIn5Pb4 structure at the PBE-GGA level of DFT.

DOS at the Fermi energy: 3.42 states/eV per cell
Symmetry: P4/mmm (123)

a b c (Å): 3.9777 3.9777 18.5898
angles (deg): 90.00 90.00 90.00
Fractional positions:
1 Pb 0.0000 0.0000 0.3966
2 In 0.5000 0.5000 0.2997
3 Pb 0.0000 0.0000 0.2007
4 In 0.5000 0.5000 0.8985
5 In 0.5000 0.5000 0.5000
6 Tl 0.0000 0.0000 0.0000
7 Pb 0.0000 0.0000 0.6034
8 In 0.5000 0.5000 0.1015
9 Pb 0.0000 0.0000 0.7993
10 In 0.5000 0.5000 0.7003

---

no.,calculated formation energy (meV/atom)
1,116
2,216
3,73
4,8
5,9
6,34